Entry 1:
Below is an optimized crystal structure of Dy5YTh, with properties calculated at the GGA-PBE level.

## Properties
**Calculated total energy**: -4.086 eV/atom
**ΔE to the lowest computed polymorph**: 989 meV per atom

Cell: 7.925 7.925 7.925 Å, 136.80 114.62 81.62°
Atoms (fractional coordinates):
Dy 0.000 0.000 0.000
Dy 0.246 0.746 0.500
Dy 0.322 0.500 0.822
Dy 0.678 0.500 0.178
Dy 0.754 0.254 0.500
Y 0.000 0.500 0.500
Th 0.500 0.000 0.500



Entry 2:
Below is an optimized crystal structure of KTl5In5, with properties calculated at the GGA-PBE level.

## Properties
**Calculated total energy**: -2.389 eV/atom

Cell: 6.246 6.246 10.780 Å, 90.00 90.00 120.00°
Atoms (fractional coordinates):
K 0.000 0.000 0.000
Tl 0.000 0.000 0.335
Tl 0.000 0.000 0.665
Tl 0.333 0.667 0.000
Tl 0.667 0.333 0.207
Tl 0.667 0.333 0.793
In 0.333 0.667 0.271
In 0.333 0.667 0.729
In 0.507 0.013 0.500
In 0.507 0.493 0.500
In 0.987 0.493 0.500



Entry 3:
Below is an optimized crystal structure of BaLi4Hg, with properties calculated at the GGA-PBE level.

## Properties
**Calculated total energy**: -1.800 eV/atom
**ΔE to the lowest computed polymorph**: 0 meV per atom

Cell: 8.684 4.488 8.432 Å, 90.00 90.00 90.00°
Atoms (fractional coordinates):
Ba 0.250 0.000 0.097
Ba 0.750 0.000 0.903
Li 0.000 0.000 0.500
Li 0.068 0.500 0.764
Li 0.250 0.500 0.472
Li 0.432 0.500 0.764
Li 0.500 0.000 0.500
Li 0.568 0.500 0.236
Li 0.750 0.500 0.528
Li 0.932 0.500 0.236
Hg 0.250 0.000 0.692
Hg 0.750 0.000 0.308